A plane-wave DFT calculation with PBE with a Hubbard U was carried out for a relaxed Li2NiAgF8 crystal.

Output
The calculation puts the magnetization at 1.0 μB/f.u. The calculated volume comes out at 12.3 Å³/atom. The total energy comes out at -45.59 eV for the cell shown.

Unit cell a=5.8048 b=5.8048 c=5.8048 alpha=114.20 beta=114.20 gamma=100.38
Last column: nearest neighbours and their distance in Å.
Element x y z (fractional)
1 Li 0.0000 0.0000 0.0000  4 F 2.02
2 Li 0.7500 0.2500 0.5000  4 F 1.96
3 Ni 0.2500 0.7500 0.5000  4 F 1.84
4 Ag 0.5000 0.5000 0.0000  4 F 1.99
5 F 0.0116 0.7981 0.2134  1 Ni 1.84, 1 Li 2.02
6 F 0.1470 0.4597 0.6873  1 Li 1.96, 1 Ag 1.99
7 F 0.2019 0.4153 0.2134  1 Ni 1.84, 1 Li 2.02
8 F 0.2019 0.9884 0.7866  1 Ni 1.84, 1 Li 2.02
9 F 0.5403 0.2276 0.6873  1 Li 1.96, 1 Ag 1.99
10 F 0.5403 0.8530 0.3127  1 Li 1.96, 1 Ag 1.99
11 F 0.5847 0.7981 0.7866  1 Ni 1.84, 1 Li 2.02
12 F 0.7724 0.4597 0.3127  1 Li 1.96, 1 Ag 1.99